No. 1
5
Lattice="-3.5821 -2.2915 3.4568 1.9874 -4.8293 -1.1419 3.6125 0.5200 4.0881" Properties=species:S:1:pos:R:3 comment="SrZrGe2C, optimized geometry, DFT GGA-PBE" formation_enthalpy_0k_ev_per_atom=2.769 final_energy_ev_per_fu=-14.85 spacegroup=P4/mmm rho_g_cm3=3.48 total_magnetization_mub_per_cell=1.4 crystal_system=tetragonal pbc="T T T"
Sr 0.0000 0.0000 0.0000
Ge 1.8062 0.2600 2.0440
Ge -1.7911 -1.1458 1.7284
C 1.0089 -3.3004 3.2015
Zr 0.9937 -2.4147 -0.5710

***

No. 2
8
Lattice="-0.8241 -2.1923 2.9676 -1.7430 -2.4487 -2.2930 13.1235 -7.5389 -1.9248" Properties=species:S:1:pos:R:3 comment="Ca3MgIn4, optimized geometry, DFT GGA-PBE" formation_enthalpy_0k_ev_per_atom=-0.378 final_energy_ev_per_fu=-21.58 spacegroup=P4/mmm rho_g_cm3=4.60 total_magnetization_mub_per_cell=0.0 crystal_system=tetragonal pbc="T T T"
Ca 1.9070 -4.1533 -0.1306
Ca 5.2782 -6.0900 -0.6251
Ca 8.6494 -8.0266 -1.1195
Mg -1.2836 -2.3205 0.3373
In 11.7233 -6.7346 -1.7194
In 1.4002 -0.8043 -0.2054
In 4.9305 -2.8324 -0.7231
In 8.1930 -4.7066 -1.2016